[1]
A relaxed structure of In2HgTeO. Source: the Alexandria database, functional PBE.

Cell and atoms, written as POSCAR:
```
In2HgTeO
1.0
-4.6510 -2.6152 -2.2326
3.0580 -1.9662 -4.0673
1.1451 -4.7191 3.1423
Te Hg O In
1 1 1 2
Direct
0.0000 0.5000 0.0000 Te
0.0000 0.0000 0.0000 Hg
0.5000 0.5000 0.5000 O
0.0000 0.0000 0.5000 In
0.5000 0.0000 0.0000 In
```

## Properties
Fermi-level density of states   10.79 states/eV per cell
Formation energy (no corrections)   730 meV/atom

---

[2]
A relaxed structure of UIn2HgO8. Source: the Alexandria database, functional PBE.

Cell and atoms, written as POSCAR:
```
UIn2HgO8
1.0
-0.4719 -2.2905 4.4278
-3.8813 -2.4195 -1.9889
3.8349 -5.0257 -2.8096
U In Hg O
1 2 1 8
Direct
0.0000 0.0000 0.0000 U
0.4847 0.5154 0.7467 In
0.5153 0.4846 0.2533 In
0.0000 0.0000 0.5000 Hg
0.1984 0.7790 0.1991 O
0.6863 0.7064 0.9986 O
0.8267 0.1900 0.2499 O
0.8016 0.2210 0.8009 O
0.3137 0.2936 0.0014 O
0.1733 0.8100 0.7501 O
0.6799 0.7084 0.4969 O
0.3201 0.2916 0.5031 O
```

## Properties
Fermi-level density of states   2.75 states/eV per cell
Formation energy (no corrections)   -1584 meV/atom

---

[3]
A relaxed structure of In4HgOs. Source: the Alexandria database, functional PBE.

Cell and atoms, written as POSCAR:
```
In4HgOs
1.0
-2.6419 -0.7337 5.1276
-4.9517 -3.0320 0.3117
-0.0475 -5.2386 2.5228
In Hg Os
4 1 1
Direct
0.8731 0.3756 0.3756 In
0.3756 0.3756 0.8731 In
0.3756 0.8731 0.3756 In
0.3756 0.3756 0.3756 In
0.0000 0.0000 0.0000 Hg
0.7500 0.7500 0.7500 Os
```

## Properties
Fermi-level density of states   3.70 states/eV per cell
ΔE_f   82.09 kJ/mol of atoms

---

[4]
A relaxed structure of InHg2Os. Source: the Alexandria database, functional PBE.

Cell and atoms, written as POSCAR:
```
InHg2Os
1.0
-5.8315 0.9747 -0.4558
2.2897 -5.2177 -1.6422
-1.4576 -2.2582 1.8093
Hg In Os
2 1 1
Direct
0.0000 0.0000 0.0000 Hg
0.5000 0.5000 0.0000 Hg
0.5000 0.0000 0.5000 In
0.0000 0.5000 0.5000 Os
```

## Properties
Fermi-level density of states   2.45 states/eV per cell
ΔE_f   60.93 kJ/mol of atoms

---

[5]
A relaxed structure of InHgOs. Source: the Alexandria database, functional PBE.

Cell and atoms, written as POSCAR:
```
InHgOs
1.0
8.8897 0.3314 -0.2042
8.0624 3.1194 -0.2459
0.8273 -1.2904 2.4717
Hg In Os
1 1 1
Direct
0.9841 0.9841 0.0159 Hg
0.6852 0.6852 0.3148 In
0.3307 0.3307 0.6693 Os
```

## Properties
Fermi-level density of states   2.43 states/eV per cell
ΔE_f   74.78 kJ/mol of atoms

---

[6]
A relaxed structure of In2HgOs. Source: the Alexandria database, functional PBE.

Cell and atoms, written as POSCAR:
```
In2HgOs
1.0
2.9843 0.0583 0.0000
-1.3921 2.6403 0.0000
0.0000 0.0000 10.8745
Hg In Os
1 2 1
Direct
0.5000 0.5000 0.7222 Hg
0.0000 0.0000 0.9930 In
0.5000 0.5000 0.2864 In
0.0000 0.0000 0.4984 Os
```

## Properties
Fermi-level density of states   3.47 states/eV per cell
ΔE_f   59.64 kJ/mol of atoms

---

[7]
A relaxed structure of In2HgOs. Source: the Alexandria database, functional PBE.

Cell and atoms, written as POSCAR:
```
In2HgOs
1.0
5.4390 -0.1445 0.4407
4.4806 3.0869 0.4407
1.6251 0.4820 4.7749
Hg In Os
1 2 1
Direct
0.2273 0.2273 0.2017 Hg
0.9958 0.9958 0.0403 In
0.7753 0.7753 0.6560 In
0.5017 0.5017 0.6021 Os
```

## Properties
Fermi-level density of states   1.09 states/eV per cell
ΔE_f   45.12 kJ/mol of atoms

---

[8]
A relaxed structure of In2HgOs. Source: the Alexandria database, functional PBE.

Cell and atoms, written as POSCAR:
```
In2HgOs
1.0
-0.7160 -3.0924 0.6958
2.2692 -0.9982 -2.1010
5.4814 0.0569 5.8933
Hg In Os
1 2 1
Direct
0.5000 0.5000 0.7500 Hg
0.0000 0.0000 0.0498 In
0.0000 0.0000 0.4502 In
0.5000 0.5000 0.2500 Os
```

## Properties
Fermi-level density of states   2.13 states/eV per cell
ΔE_f   36.64 kJ/mol of atoms

---

[9]
A relaxed structure of In2HgOs. Source: the Alexandria database, functional PBE.

Cell and atoms, written as POSCAR:
```
In2HgOs
1.0
3.7467 0.0000 0.0000
0.0000 3.7467 0.0000
0.0000 0.0000 5.7787
Hg In Os
1 2 1
Direct
0.5000 0.5000 0.7604 Hg
0.0000 0.0000 0.9836 In
0.5000 0.5000 0.2818 In
0.0000 0.0000 0.4742 Os
```

## Properties
Fermi-level density of states   1.82 states/eV per cell
ΔE_f   50.32 kJ/mol of atoms

---

[10]
A relaxed structure of In2HgOs. Source: the Alexandria database, functional PBE.

Cell and atoms, written as POSCAR:
```
In2HgOs
1.0
-3.3253 -3.9730 -0.5955
2.1725 -4.3249 1.9423
-0.6332 4.7556 2.0288
Hg In Os
1 2 1
Direct
0.7500 0.2500 0.5000 Hg
0.0001 0.0001 0.0000 In
0.4999 0.4999 0.0000 In
0.2500 0.7500 0.5000 Os
```

## Properties
Fermi-level density of states   1.56 states/eV per cell
ΔE_f   48.96 kJ/mol of atoms

---

[11]
A relaxed structure of InHg2Os. Source: the Alexandria database, functional PBE.

Cell and atoms, written as POSCAR:
```
InHg2Os
1.0
4.0871 0.0000 0.0000
0.0000 4.0871 0.0000
2.0435 2.0435 10.2847
Os Hg In
2 4 2
Direct
0.0000 0.0000 0.0000 Os
0.7500 0.2500 0.5000 Os
0.6436 0.1250 0.2500 Hg
0.1064 0.6250 0.2500 Hg
0.3750 0.3564 0.7500 Hg
0.8750 0.8936 0.7500 Hg
0.5000 0.5000 0.0000 In
0.2500 0.7500 0.5000 In
```

## Properties
Fermi-level density of states   8.69 states/eV per cell
ΔE_f   74.35 kJ/mol of atoms

---

[12]
A relaxed structure of InHg2Os. Source: the Alexandria database, functional PBE.

Cell and atoms, written as POSCAR:
```
InHg2Os
1.0
3.6174 0.0000 0.0000
0.0000 3.6205 0.0000
0.0000 0.0000 6.0921
Hg In Os
2 1 1
Direct
0.0000 0.0000 0.9941 Hg
0.5000 0.5000 0.2441 Hg
0.0000 0.0000 0.5304 In
0.5000 0.5000 0.7314 Os
```

## Properties
Fermi-level density of states   1.97 states/eV per cell
ΔE_f   60.20 kJ/mol of atoms